# 1
First-principles (PBE) data for a relaxed TbNdHo2Tm2 crystal, as listed in Alexandria.

extended XYZ file:
```
12
Lattice="3.5154 0.0000 0.0000 0.0000 15.9711 0.0000 0.0000 0.0000 6.9266" Properties=species:S:1:pos:R:3 pbc="T T T"
Ho 1.7577 13.4400 1.7356
Ho 0.0000 10.5166 5.1989
Ho 1.7577 2.5311 5.1910
Ho 0.0000 5.4544 1.7277
Tb 1.7577 7.9855 0.0000
Tb 0.0000 0.0000 3.4633
Tm 0.0000 5.4965 5.1952
Tm 1.7577 13.4820 5.1947
Tm 1.7577 2.4890 1.7319
Tm 0.0000 10.4745 1.7314
Nd 1.7577 7.9855 3.4633
Nd 0.0000 0.0000 0.0000
```

Properties
As for the density: 8.29 Mg/m³. The value obtained for the density of states at the Fermi level is 18.2 states/eV per cell. As for the space group: No. 58.

---

# 2
First-principles (PBE) data for a relaxed ErTmHf crystal, as listed in Alexandria.

extended XYZ file:
```
6
Lattice="-2.9955 -3.1349 -1.7910 1.5388 0.2264 -2.9711 4.8306 -7.8897 5.7343" Properties=species:S:1:pos:R:3 pbc="T T T"
Tm 2.6637 -4.8492 -0.2288
Tm -0.7378 -5.1671 -0.1277
Hf 3.4539 -10.2094 1.6897
Hf 3.3022 -7.6955 3.6881
Er 1.5350 -7.8987 0.8543
Er 0.3901 -2.1168 -1.2107
```

Properties
As for the density: 10.51 Mg/m³. The value obtained for the density of states at the Fermi level is 8.9 states/eV per cell. The relative energy among the computed polymorphs comes out at 39 meV/atom. As for the space group: No. 11.

---

Number 1: formation energy 0.17 eV per atom, uncorrected energy -53.0 eV per cell. Number 2: formation energy 0.11 eV per atom, uncorrected energy -37.3 eV per cell.